No. 1
Computed, not measured: Nb2AsO2 after structural relaxation at the PBE-GGA level of DFT.

```
Nb2AsO2
1.0
-2.0508 2.0508 4.1597
2.0508 -2.0508 4.1597
2.0508 2.0508 -4.1597
Nb As O
2 1 2
Direct
0.2500 0.7500 0.5000
0.7500 0.2500 0.5000
0.0000 0.0000 0.0000
0.3354 0.3354 0.0000
0.6646 0.6646 0.0000
```

## Properties
The formation energy without anion corrections comes out at -5.9 eV per formula unit. Its theoretical density is 6.95 g/cm³. For the energy above the most stable polymorph in this dataset, the calculation gives 0 meV per atom.

No. 2
Computed, not measured: NbAs3O after structural relaxation at the PBE-GGA level of DFT.

```
NbAs3O
1.0
4.3361 0.0000 0.0000
0.0000 4.3361 0.0000
0.0000 0.0000 4.3361
Nb As O
1 3 1
Direct
0.0000 0.0000 0.0000
0.0000 0.5000 0.5000
0.5000 0.0000 0.5000
0.5000 0.5000 0.0000
0.5000 0.5000 0.5000
```

## Properties
The formation energy without anion corrections comes out at 0.7 eV per formula unit. Its theoretical density is 6.80 g/cm³.

No. 3
Computed, not measured: RbNbAsO5 after structural relaxation at the PBE-GGA level of DFT.

```
RbNbAsO5
1.0
3.6841 -4.8487 0.0000
3.6841 4.8487 0.0000
-3.3793 0.0000 6.9224
Rb Nb As O
2 2 2 10
Direct
0.1703 0.8297 0.7500
0.8297 0.1703 0.2500
0.5000 0.5000 0.0000
0.5000 0.5000 0.5000
0.1917 0.8083 0.2500
0.8083 0.1917 0.7500
0.1282 0.2788 0.8978
0.2181 0.6110 0.3909
0.2788 0.1282 0.3978
0.3890 0.7819 0.1091
0.4516 0.5484 0.7500
0.5484 0.4516 0.2500
0.6110 0.2181 0.8909
0.7212 0.8718 0.6022
0.7819 0.3890 0.6091
0.8718 0.7212 0.1022
```

## Properties
The formation energy without anion corrections comes out at -14.5 eV per formula unit. Its theoretical density is 4.48 g/cm³.

No. 4
Computed, not measured: NbAsS2O after structural relaxation at the PBE-GGA level of DFT.

```
NbAsS2O
1.0
4.9320 0.0000 0.0000
0.0000 4.9320 0.0000
0.0000 0.0000 3.8402
Nb As S O
1 1 2 1
Direct
0.0000 0.0000 0.0000
0.5000 0.5000 0.5000
0.0000 0.5000 0.0000
0.5000 0.0000 0.0000
0.0000 0.0000 0.5000
```

## Properties
The formation energy without anion corrections comes out at -2.8 eV per formula unit. Its theoretical density is 4.41 g/cm³.

No. 5
Computed, not measured: NbAsSe2O after structural relaxation at the PBE-GGA level of DFT.

```
NbAsSe2O
1.0
5.0950 0.0000 0.0000
0.0000 5.0950 0.0000
0.0000 0.0000 3.6678
Nb As Se O
1 1 2 1
Direct
0.0000 0.0000 0.0000
0.5000 0.5000 0.5000
0.0000 0.5000 0.5000
0.5000 0.0000 0.5000
0.5000 0.5000 0.0000
```

## Properties
The formation energy without anion corrections comes out at 0.4 eV per formula unit. Its theoretical density is 5.96 g/cm³. For the energy above the most stable polymorph in this dataset, the calculation gives 0 meV per atom.

No. 6
Computed, not measured: NbAs2SeO after structural relaxation at the PBE-GGA level of DFT.

```
NbAs2SeO
1.0
4.2088 0.0000 0.0000
0.0000 4.2088 0.0000
0.0000 0.0000 4.6829
Nb As Se O
1 2 1 1
Direct
0.0000 0.0000 0.0000
0.0000 0.5000 0.5000
0.5000 0.0000 0.5000
0.5000 0.5000 0.0000
0.5000 0.5000 0.5000
```

## Properties
The formation energy without anion corrections comes out at 1.0 eV per formula unit. Its theoretical density is 6.76 g/cm³. For the energy above the most stable polymorph in this dataset, the calculation gives 0 meV per atom.

No. 7
Computed, not measured: NbAsSe2O after structural relaxation at the PBE-GGA level of DFT.

```
NbAsSe2O
1.0
4.9070 0.0000 0.0000
0.0000 4.9070 0.0000
0.0000 0.0000 5.0922
Nb As Se O
1 1 2 1
Direct
0.0000 0.0000 0.0000
0.0000 0.0000 0.5000
0.0000 0.5000 0.0000
0.5000 0.0000 0.0000
0.5000 0.5000 0.5000
```

## Properties
The formation energy without anion corrections comes out at 2.8 eV per formula unit. Its theoretical density is 4.63 g/cm³. For the energy above the most stable polymorph in this dataset, the calculation gives 482 meV per atom.

No. 8
Computed, not measured: NbAsSe2O after structural relaxation at the PBE-GGA level of DFT.

```
NbAsSe2O
1.0
4.4824 0.0000 0.0000
0.0000 4.4824 0.0000
0.0000 0.0000 4.2161
Nb As Se O
1 1 2 1
Direct
0.0000 0.0000 0.0000
0.5000 0.5000 0.0000
0.0000 0.5000 0.5000
0.5000 0.0000 0.5000
0.5000 0.5000 0.5000
```

## Properties
The formation energy without anion corrections comes out at 1.6 eV per formula unit. Its theoretical density is 6.70 g/cm³. For the energy above the most stable polymorph in this dataset, the calculation gives 230 meV per atom.

No. 9
Computed, not measured: NbAs2SeO after structural relaxation at the PBE-GGA level of DFT.

```
NbAs2SeO
1.0
4.9901 0.0000 0.0000
0.0000 4.9901 0.0000
0.0000 0.0000 4.8687
Nb As Se O
1 2 1 1
Direct
0.0000 0.0000 0.0000
0.0000 0.5000 0.0000
0.5000 0.0000 0.0000
0.0000 0.0000 0.5000
0.5000 0.5000 0.5000
```

## Properties
The formation energy without anion corrections comes out at 3.3 eV per formula unit. Its theoretical density is 4.63 g/cm³. For the energy above the most stable polymorph in this dataset, the calculation gives 460 meV per atom.

No. 10
Computed, not measured: NbSi2AsO after structural relaxation at the PBE-GGA level of DFT.

```
NbSi2AsO
1.0
3.9294 0.0000 0.0000
0.0000 3.9294 0.0000
0.0000 0.0000 4.6847
Nb Si As O
1 2 1 1
Direct
0.0000 0.0000 0.0000
0.0000 0.5000 0.5000
0.5000 0.0000 0.5000
0.5000 0.5000 0.0000
0.5000 0.5000 0.5000
```

## Properties
The formation energy without anion corrections comes out at 0.2 eV per formula unit. Its theoretical density is 5.51 g/cm³.

No. 11
Computed, not measured: SrNb2AsO after structural relaxation at the PBE-GGA level of DFT.

```
SrNb2AsO
1.0
4.7962 0.0000 0.0000
0.0000 4.7962 0.0000
0.0000 0.0000 6.0891
Sr Nb As O
1 2 1 1
Direct
0.0000 0.0000 0.0000
0.0000 0.5000 0.5000
0.5000 0.0000 0.5000
0.0000 0.0000 0.5000
0.5000 0.5000 0.0000
```

## Properties
The formation energy without anion corrections comes out at 3.7 eV per formula unit. Its theoretical density is 4.32 g/cm³.

No. 12
Computed, not measured: SrNbAs2O8 after structural relaxation at the PBE-GGA level of DFT.

```
SrNbAs2O8
1.0
4.2626 -2.8815 0.0000
4.2626 2.8815 0.0000
-0.1928 0.0000 7.5098
Sr Nb As O
1 1 2 8
Direct
0.0000 0.0000 0.0000
0.0000 0.0000 0.5000
0.3656 0.3656 0.7188
0.6344 0.6344 0.2812
0.2232 0.7356 0.7007
0.2331 0.2331 0.5371
0.2644 0.7768 0.2993
0.2887 0.2887 0.9231
0.7113 0.7113 0.0769
0.7356 0.2232 0.7007
0.7669 0.7669 0.4629
0.7768 0.2644 0.2993
```

## Properties
The formation energy without anion corrections comes out at -22.6 eV per formula unit. Its theoretical density is 4.13 g/cm³.